# 1
This record from Alexandria via LeMat-Bulk describes an optimized crystal structure of LiPmLuTc. The functional is GGA-PBE.

a = 4.9431 Å, b = 4.9431 Å, c = 4.9431 Å
α = 60.00°, β = 60.00°, γ = 60.00°
Element x y z (fractional)
Pm 0.7500 0.7500 0.7500
Tc 0.5000 0.5000 0.5000
Lu 0.2500 0.2500 0.2500
Li 0.0000 0.0000 0.0000

Output
Its calculated volume is 21.351 Å³ per atom. For the formation energy, the calculation gives -0.006 eV/atom. Its space-group type is No. 216.

=====

# 2
This record from Alexandria via LeMat-Bulk describes an optimized crystal structure of LiPmLuTh. The functional is GGA-PBE.

a = 5.4796 Å, b = 5.4796 Å, c = 5.4796 Å
α = 60.00°, β = 60.00°, γ = 60.00°
Element x y z (fractional)
Pm 0.0000 0.0000 0.0000
Th 0.5000 0.5000 0.5000
Lu 0.2500 0.2500 0.2500
Li 0.7500 0.7500 0.7500

Output
Its calculated volume is 29.086 Å³ per atom. For the formation energy, the calculation gives 0.202 eV/atom. Its space-group type is No. 216.

=====

| no. | energy (eV per cell) | size of the total moment (μB/atom) |
| --- | --- | --- |
| 1 | -21.6 | 0.00 |
| 2 | -17.8 | 0.00 |